First-principles (GGA-PBEsol) data for a geometry-optimized TaAlCu2 structure, as listed in the Alexandria database.

abc: 2.823 2.823 6.839
angles: 90.00 90.00 90.00
Fractional coordinates of all 4 atoms:
Al (0.500, 0.500, 0.500)
Cu (0.000, 0.000, 0.273)
Cu (0.000, 0.000, 0.727)
Ta (0.500, 0.500, 0.000)

Results
total moment	0.00	μB/f.u.
space-group type	P4/mmm (123)
ΔH_f (0 K)	-10.5	kJ per mole of atoms

=====

First-principles (GGA-PBEsol) data for a geometry-optimized TaAl3Cu structure, as listed in the Alexandria database.

abc: 4.944 4.944 4.944
angles: 90.00 90.00 90.00
Fractional coordinates of all 5 atoms:
Al (0.000, 0.500, 0.000)
Al (0.000, 0.000, 0.500)
Al (0.500, 0.000, 0.000)
Ta (0.000, 0.000, 0.000)
Cu (0.500, 0.500, 0.500)

Results
total moment	0.00	μB/f.u.
space-group type	Pm-3m (221)
ΔH_f (0 K)	125.1	kJ per mole of atoms

=====

First-principles (GGA-PBEsol) data for a geometry-optimized TaAl2Cu structure, as listed in the Alexandria database.

abc: 3.767 3.930 3.930
angles: 90.00 90.00 90.00
Fractional coordinates of all 4 atoms:
Ta (0.500, 0.000, 0.000)
Al (0.000, 0.500, 0.000)
Al (0.000, 0.000, 0.500)
Cu (0.500, 0.500, 0.500)

Results
total moment	0.00	μB/f.u.
space-group type	P4/mmm (123)
ΔH_f (0 K)	-24.2	kJ per mole of atoms